VASP calculation (PBE) on YThCu after structural relaxation.

a b c (Å): 3.5282 3.5282 6.6604
angles (deg): 105.36 105.36 90.00
Last column: nearest neighbours and their distance in Å.
Fractional coordinates of all 3 atoms:
1 Y 0.0226 0.0226 0.0453  4 Cu 3.05
2 Th 0.3130 0.3130 0.6260  4 Cu 3.10
3 Cu 0.6643 0.6643 0.3287  4 Y 3.05, 4 Th 3.10

size of the total moment: 0.0 μB/cell
formation energy: -58 meV per atom
polymorph energy (0 for the lowest one): 46 meV/atom